This record from the Alexandria database describes a relaxed structure of Er3Mg7Cd2. The functional is PBE-GGA.

Geometry as extended XYZ:
```
12
Lattice="5.9831 0.0000 0.0000 2.9916 5.1815 0.0000 2.9916 1.7272 9.5521" Properties=species:S:1:pos:R:3 pbc="T T T"
Er 0.0000 0.0000 0.0000
Er 8.9747 5.1815 4.1515
Er 2.9916 1.7272 5.4007
Mg 5.9831 3.4544 4.7761
Mg 7.5024 2.5772 2.3760
Mg 5.9831 5.2087 2.3760
Mg 4.4638 2.5772 2.3760
Mg 4.4638 4.3315 7.1762
Mg 7.5024 4.3315 7.1762
Mg 5.9831 1.7000 7.1762
Cd 5.9831 3.4544 0.0288
Cd 5.9831 3.4544 9.5233
```

Calculated values
- calculated total energy (eV per atom) = -2.303
- formation enthalpy at 0 K (kcal/mol of atoms) = -1.8
- volume (Å³ per cell) = 296.13
- E above lowest polymorph (eV per formula unit) = 0.00
- ρ (g cm⁻³) = 5.0
- space group = R-3m, No. 166

=====

This record from the Alexandria database describes a relaxed structure of PmZn4Cu. The functional is PBE-GGA.

Geometry as extended XYZ:
```
12
Lattice="-4.2425 0.7393 4.3959 -2.1571 -5.6512 -1.1313 4.3294 -2.5757 4.6115" Properties=species:S:1:pos:R:3 pbc="T T T"
Pm 0.0435 -0.9182 4.5037
Pm 1.0862 -4.1135 1.7401
Zn -3.0712 -0.3595 2.6826
Zn -5.0115 -3.0349 3.0098
Zn -1.3881 -1.8770 0.2548
Zn -3.3283 -4.5524 0.5820
Zn 1.4304 -0.8510 1.5236
Zn -0.3008 -4.1807 4.7202
Zn 2.8990 -1.7247 3.0879
Zn -1.7693 -3.3070 3.1559
Cu -3.1998 -2.4560 1.6323
Cu 0.0000 0.0000 0.0000
```

Calculated values
- calculated total energy (eV per atom) = -2.176
- formation enthalpy at 0 K (kcal/mol of atoms) = 3.4
- volume (Å³ per cell) = 258.64
- E above lowest polymorph (eV per formula unit) = 1.44
- ρ (g cm⁻³) = 6.0
- space group = P4/mbm, No. 127

=====

This record from the Alexandria database describes a relaxed structure of HfAl2Cd. The functional is PBE-GGA.

Geometry as extended XYZ:
```
4
Lattice="4.0633 0.0000 0.0000 0.0000 4.2510 0.0000 0.0000 0.0000 4.2510" Properties=species:S:1:pos:R:3 pbc="T T T"
Hf 2.0317 2.1255 2.1255
Al 0.0000 0.0000 2.1255
Al 0.0000 2.1255 0.0000
Cd 2.0317 0.0000 0.0000
```

Calculated values
- calculated total energy (eV per atom) = -4.828
- formation enthalpy at 0 K (kcal/mol of atoms) = -5.5
- volume (Å³ per cell) = 73.43
- ρ (g cm⁻³) = 7.8
- space group = P4/mmm, No. 123

=====

This record from the Alexandria database describes a relaxed structure of NaNdSe2. The functional is PBE-GGA.

Geometry as extended XYZ:
```
4
Lattice="7.4423 -0.0132 -0.0081 6.2155 4.0933 -0.0081 6.2155 1.8568 3.6480" Properties=species:S:1:pos:R:3 pbc="T T T"
Na 9.9367 2.9685 1.8159
Nd 0.0000 0.0000 0.0000
Se 14.8134 4.4254 2.7072
Se 5.0599 1.5116 0.9247
```

Calculated values
- calculated total energy (eV per atom) = -4.947
- energy relative to the elements, uncorrected (eV per formula unit) = -6.73
- volume (Å³ per cell) = 111.65
- E above lowest polymorph (eV per formula unit) = 0.00
- ρ (g cm⁻³) = 4.8
- space group = R-3m, No. 166

=====

This record from the Alexandria database describes a relaxed structure of CoPOs2. The functional is PBE-GGA.

Geometry as extended XYZ:
```
4
Lattice="-3.2107 -0.3418 3.2420 -0.8388 -1.4443 4.2599 1.1436 3.9157 1.5763" Properties=species:S:1:pos:R:3 pbc="T T T"
Co -0.7779 0.6009 2.4635
Os -4.0201 -1.7370 7.4865
Os -2.0393 1.7482 6.6458
P -1.5710 0.7964 4.5234
```

Calculated values
- calculated total energy (eV per atom) = -8.595
- formation enthalpy at 0 K (kcal/mol of atoms) = 3.4
- volume (Å³ per cell) = 53.46
- ρ (g cm⁻³) = 14.6
- space group = Cm, No. 8

=====

This record from the Alexandria database describes a relaxed structure of LiTbEr2. The functional is PBE-GGA.

Geometry as extended XYZ:
```
4
Lattice="3.4393 0.0000 0.0000 1.7196 2.9785 0.0000 1.7196 0.9928 12.0610" Properties=species:S:1:pos:R:3 pbc="T T T"
Li 0.0000 0.0000 0.0000
Tb 3.4393 1.9857 6.0305
Er 1.7196 0.9928 8.8574
Er 5.1589 2.9785 3.2036
```

Calculated values
- calculated total energy (eV per atom) = -3.728
- formation enthalpy at 0 K (kcal/mol of atoms) = 4.4
- volume (Å³ per cell) = 123.55
- E above lowest polymorph (eV per formula unit) = 0.47
- ρ (g cm⁻³) = 6.7
- space group = R-3m, No. 166

=====

This record from the Alexandria database describes a relaxed structure of La8AsS3Br4. The functional is PBE-GGA.

Geometry as extended XYZ:
```
16
Lattice="-5.7587 -3.3549 5.0845 3.1667 -8.0554 -1.7287 5.2877 5.8148 2.9154" Properties=species:S:1:pos:R:3 pbc="T T T"
La 5.9881 -0.9204 2.8315
La 3.4299 -3.7337 1.4211
La 2.1956 -0.1669 2.3766
La 3.2019 -2.5436 5.2915
La -0.5063 -3.0520 0.9797
La 0.5000 -5.4286 3.8946
La -0.7343 -1.8619 4.8501
La -3.2925 -4.6751 3.4397
As 1.5833 -4.0277 -0.8643
S -1.2960 -5.7052 1.6779
S 1.3478 -2.7978 3.1356
S 4.2272 -1.1203 0.5934
Br -2.8794 -1.6775 2.5423
Br -0.2355 1.2300 3.9999
Br 0.0000 0.0000 0.0000
Br 2.6438 2.9074 1.4577
```

Calculated values
- calculated total energy (eV per atom) = -5.648
- energy relative to the elements, uncorrected (eV per formula unit) = -27.22
- volume (Å³ per cell) = 449.19
- ρ (g cm⁻³) = 5.9
- space group = R-3m, No. 166

=====

This record from the Alexandria database describes a relaxed structure of TaSbTe2N. The functional is PBE-GGA.

Geometry as extended XYZ:
```
5
Lattice="5.6989 0.0000 0.0000 0.0000 5.6989 0.0000 0.0000 0.0000 3.8708" Properties=species:S:1:pos:R:3 pbc="T T T"
Sb 0.0000 0.0000 0.0000
N 0.0000 0.0000 1.9354
Te 0.0000 2.8495 0.0000
Te 2.8495 0.0000 0.0000
Ta 2.8495 2.8495 1.9354
```

Calculated values
- calculated total energy (eV per atom) = -4.790
- energy relative to the elements, uncorrected (eV per formula unit) = 6.63
- volume (Å³ per cell) = 125.72
- E above lowest polymorph (eV per formula unit) = 6.04
- ρ (g cm⁻³) = 7.6
- space group = P4/mmm, No. 123

=====

This record from the Alexandria database describes a relaxed structure of GaCu2RhI. The functional is PBE-GGA.

Geometry as extended XYZ:
```
5
Lattice="-4.3487 0.4496 2.2373 0.2263 -4.7213 1.3886 2.2709 1.3285 4.1469" Properties=species:S:1:pos:R:3 pbc="T T T"
I 0.0000 0.0000 0.0000
Rh 0.1132 -2.3606 0.6943
Cu 1.1354 0.6643 2.0735
Cu -2.1743 0.2248 1.1187
Ga -0.9257 -1.4716 3.8864
```

Calculated values
- calculated total energy (eV per atom) = -3.060
- energy relative to the elements, uncorrected (eV per formula unit) = 4.82
- volume (Å³ per cell) = 118.82
- ρ (g cm⁻³) = 6.0
- space group = P4/mmm, No. 123

=====

This record from the Alexandria database describes a relaxed structure of ZnNi3H2. The functional is PBE-GGA.

Geometry as extended XYZ:
```
12
Lattice="4.8664 0.0000 0.0000 0.0000 4.9868 0.0000 -2.4332 -2.4934 4.2279" Properties=species:S:1:pos:R:3 pbc="T T T"
Zn 1.2180 0.0000 2.1139
Zn 1.2152 2.4934 2.1139
Ni 0.0000 3.7399 0.0000
Ni 0.0000 1.2469 0.0000
Ni 2.4332 3.7403 0.0000
Ni -1.2166 -1.2467 2.1139
Ni -1.2166 1.2467 2.1139
Ni 2.4332 1.2465 0.0000
H -1.2205 2.4934 3.5159
H -1.2127 0.0000 3.5159
H 3.6459 2.4934 0.7120
H 3.6537 0.0000 0.7120
```

Calculated values
- calculated total energy (eV per atom) = -4.250
- volume (Å³ per cell) = 102.60
- E above lowest polymorph (eV per formula unit) = 0.58
- ρ (g cm⁻³) = 7.9
- space group = Imma, No. 74

=====

This record from the Alexandria database describes a relaxed structure of K2PrCdF8. The functional is PBE-GGA.

Geometry as extended XYZ:
```
12
Lattice="4.0162 -0.0388 -0.0024 0.0431 6.3161 -0.0066 0.0046 0.0101 7.9358" Properties=species:S:1:pos:R:3 pbc="T T T"
K 2.0332 3.1458 6.0040
K 2.0307 3.1416 1.9227
Pr 0.0023 0.0051 3.9679
Cd 0.0000 0.0000 0.0000
F 0.0421 4.9743 1.9546
F 2.0612 5.0161 7.9284
F 4.0194 1.3091 1.9561
F 4.0218 1.3131 5.9721
F 2.0027 1.2713 -0.0017
F 0.0445 4.9783 5.9706
F 2.0427 4.9541 3.9615
F 2.0212 1.3333 3.9652
```

Calculated values
- calculated total energy (eV per atom) = -4.730
- energy relative to the elements, uncorrected (eV per formula unit) = -33.90
- volume (Å³ per cell) = 201.32
- ρ (g cm⁻³) = 4.0
- space group = P2/m, No. 10

=====

This record from the Alexandria database describes a relaxed structure of ScTi2IrO. The functional is PBE-GGA.

Geometry as extended XYZ:
```
5
Lattice="-1.4250 0.8968 -3.7380 -2.6828 -3.0872 0.2820 -2.8744 2.6562 1.7330" Properties=species:S:1:pos:R:3 pbc="T T T"
Sc -1.4372 1.3281 0.8665
Ir -3.4911 0.2329 -0.8615
O 0.0000 0.0000 0.0000
Ti -1.3414 -1.5436 0.1410
Ti -0.7125 0.4484 -1.8690
```

Calculated values
- calculated total energy (eV per atom) = -8.606
- energy relative to the elements, uncorrected (eV per formula unit) = -7.09
- volume (Å³ per cell) = 71.94
- ρ (g cm⁻³) = 8.1
- space group = P4/mmm, No. 123